Record 1
YHfNb, optimized geometry, DFT PBE; volume = 141.9 Å³ per cell; DFT formation energy = 194 meV/atom
1.0
5.5700 0.0014 0.0018
2.5401 5.0858 0.0028
2.5553 1.5749 5.0117
Y Nb Hf
2 2 2
Cartesian
7.5629 2.4363 3.4482
4.7134 4.1450 4.2229
3.1963 0.4743 1.3207
7.4112 5.8992 3.8644
5.1969 2.5932 1.3119
2.9822 4.7113 1.3632

Record 2
Cs2TlIn2Pb2, optimized geometry, DFT PBE; volume = 284.0 Å³ per cell; DFT formation energy = -76 meV/atom
1.0
-3.5663 -3.7503 -1.1600
-1.3609 0.0864 -8.2196
3.1731 -6.5902 -0.5736
Cs Tl In Pb
2 1 2 2
Cartesian
-0.3911 -6.3118 -2.6403
-1.3630 -3.9423 -7.3129
0.0000 0.0000 0.0000
1.5097 -7.1147 -5.8880
-3.2638 -3.1394 -4.0652
-0.2280 -2.5114 -3.3041
-1.5261 -7.7427 -6.6491

Record 3
Cs8Au3I3Br, optimized geometry, DFT PBE; formation energy (no corrections) = -971 meV per atom; volume = 884.2 Å³ per cell
1.0
-10.1459 -2.9316 -2.0820
3.4231 0.6836 10.1825
-1.3968 8.9676 -5.8203
Cs Au I Br
8 3 3 1
Cartesian
-1.2166 1.9956 3.1186
-6.9030 4.7240 -0.8384
-6.2912 0.5149 2.1066
-1.8284 6.2046 0.1736
-8.0187 0.1718 -3.0313
-0.1009 6.5478 5.3115
-2.8997 1.6509 -1.9809
-5.2199 5.0686 4.2611
-5.7714 3.0180 -3.9511
-4.0598 3.3598 1.1401
1.0131 4.8256 2.1811
0.0000 0.0000 0.0000
1.7116 0.3418 5.0912
-3.3614 -1.1240 4.0503
-0.6984 4.4838 -2.9101

Record 4
SmHo5Tl3, optimized geometry, DFT PBE; volume = 510.3 Å³ per cell; DFT formation energy = -256 meV/atom
1.0
6.7083 0.0000 0.0000
0.0000 9.3731 0.0000
0.0000 -4.6865 8.1160
Sm Ho Tl
2 10 6
Cartesian
0.0000 0.0000 0.0000
3.3541 0.0000 0.0000
0.0000 4.6865 2.7056
3.3541 0.0000 5.4104
0.0000 0.0000 5.4104
3.3541 4.6865 2.7056
5.0312 3.1349 5.4295
5.0312 7.8214 2.6866
5.0312 3.1026 0.0000
1.6771 1.5517 2.6866
1.6771 -3.1349 5.4295
1.6771 6.2705 0.0000
5.0312 1.5846 2.7450
5.0312 6.2712 5.3710
5.0312 6.2025 0.0000
1.6771 3.1019 5.3710
1.6771 -1.5846 2.7450
1.6771 3.1706 0.0000

Record 5
NiIr2Pb, optimized geometry, DFT PBE; volume = 65.3 Å³ per cell; DFT formation energy = 440 meV/atom
1.0
-0.9854 2.6964 -3.5082
1.8466 -1.5286 -1.6936
-3.4094 -3.2110 -1.5103
Ir Ni Pb
2 1 1
Cartesian
-0.0142 -0.1574 -0.1170
-0.7672 -2.2123 -1.4849
-0.8834 0.1633 -2.5551
-1.6648 -2.2064 -4.1570

Record 6
Tb2TmOsO8, optimized geometry, DFT PBE; formation energy (no corrections) = -2542 meV per atom; volume = 171.7 Å³ per cell
1.0
-1.5195 2.4147 4.1599
3.8084 -2.1126 2.5432
3.9605 5.2280 -1.5881
Tb Tm Os O
2 1 1 8
Cartesian
4.1009 4.0535 2.1665
2.1485 1.4765 2.9485
1.9803 2.6140 -0.7941
0.0000 0.0000 0.0000
3.6856 -0.1810 2.4975
1.6861 0.2219 4.9343
0.2880 2.7067 3.5306
2.5638 5.7110 2.6175
4.5632 5.3082 0.1807
5.9613 2.8233 1.5843
3.5737 2.8239 3.8725
2.6756 2.7061 1.2425

Record 7
BaCuPb2, optimized geometry, DFT PBE; volume = 133.7 Å³ per cell; DFT formation energy = 84 meV/atom
1.0
4.6797 -0.0096 -0.0266
-2.2388 6.5485 0.1406
0.2020 1.5836 4.3974
Ba Cu Pb
1 1 2
Cartesian
-1.0184 4.0660 2.2690
1.2204 3.2694 0.0570
0.0000 0.0000 0.0000
2.4409 0.7870 2.1854

Record 8
LiAc2Zn3Ag4, optimized geometry, DFT PBE; volume = 226.3 Å³ per cell; DFT formation energy = -241 meV/atom
1.0
-1.5219 -3.2927 2.5867
3.9629 -2.0214 -0.2414
3.4607 5.6782 9.2642
Li Ac Zn Ag
1 2 3 4
Cartesian
2.9508 0.1821 5.8047
0.0897 -0.2506 3.5705
4.5915 3.2718 6.8664
1.7304 2.8391 4.6321
2.2414 3.2799 9.3306
2.4398 -0.2587 1.1062
1.2205 -2.6570 1.1726
0.0000 0.0000 0.0000
1.4288 1.9466 7.1553
3.2524 1.0746 3.2816

Record 9
KZrTlIr2, optimized geometry, DFT PBE; volume = 131.8 Å³ per cell; DFT formation energy = 1632 meV/atom
1.0
-4.4925 -1.5216 -1.7869
-1.7048 -0.6034 4.7997
-1.6341 4.7980 0.0227
Tl Ir K Zr
1 2 1 1
Cartesian
0.0000 0.0000 0.0000
-0.8171 2.3990 0.0114
-2.2463 -0.7608 -0.8935
-0.8524 -0.3017 2.3999
-3.9157 1.3365 1.5177

Record 10
Ac4In5Cu2, optimized geometry, DFT PBE; volume = 332.6 Å³ per cell; DFT formation energy = -307 meV/atom
1.0
4.0259 0.0000 0.0000
0.0000 8.0824 -0.0506
0.0000 -0.8449 10.2269
Ac In Cu
4 5 2
Cartesian
2.0129 5.6442 5.6757
2.0129 0.6742 8.8037
2.0129 1.5933 4.5006
2.0129 6.5634 1.3725
0.0000 4.1981 3.1208
0.0000 1.3896 1.5922
0.0000 4.0412 -0.0253
0.0000 5.8479 8.5841
0.0000 3.0395 7.0554
0.0000 -0.0482 6.3853
0.0000 7.2858 3.7910

Record 11
Tl2ReBr4Cl2, optimized geometry, DFT PBE; formation energy (no corrections) = -663 meV per atom; volume = 283.4 Å³ per cell
1.0
-2.4900 -4.4502 -5.6118
3.5757 -0.3936 -6.3354
3.4400 -6.2013 -1.6696
Tl Re Br Cl
2 1 4 2
Cartesian
4.6769 -6.0075 -7.3419
-0.1512 -5.0376 -6.2749
-1.2450 -2.2251 -2.8059
2.5967 -2.9051 -6.6346
1.9996 -5.1198 -9.4086
1.9290 -8.1400 -6.9822
2.5261 -5.9254 -4.2082
1.0913 -2.4952 -3.0742
3.4344 -8.5499 -10.5426

Record 12
Dy2Er4Tm5, optimized geometry, DFT PBE; volume = 342.7 Å³ per cell; DFT formation energy = 102 meV/atom
1.0
-0.0018 -1.3162 3.2221
-0.5877 -7.7691 -3.1739
12.1948 6.7604 0.8885
Dy Er Tm
2 4 5
Cartesian
5.0920 -2.7357 0.7653
6.5133 0.4108 0.1715
1.8595 -3.3491 0.5129
0.5211 -5.2390 -2.1397
9.7458 1.0242 0.4239
11.0842 2.9141 3.0765
3.9847 -4.7130 -1.9229
7.6206 2.3881 2.8597
3.0342 -0.0717 -0.0275
-0.0009 -0.6581 1.6110
8.5711 -2.2533 0.9643